--- i ---
AlP2IO | PBE | relaxed

POSCAR file:
```
AlP2IO
1.0
-2.298 4.566 -0.445
-2.483 -0.820 4.415
2.951 1.677 1.971
I P Al O
1 2 1 1
Cartesian
0.000 0.000 0.000
-1.242 -0.410 2.207
-1.149 2.283 -0.223
-0.915 2.712 2.970
1.475 0.839 0.986
```

## Properties
* space-group type: No. 123
* calculated volume: 20.67 Å³ per atom
* magnetization: 0.00 μB per cell

***

--- ii ---
AlP2IO | PBE | relaxed

POSCAR file:
```
AlP2IO
1.0
5.056 0.000 0.000
0.000 5.056 0.000
0.000 0.000 3.513
I P Al O
1 2 1 1
Cartesian
2.528 2.528 1.757
0.000 2.528 0.000
2.528 0.000 0.000
0.000 0.000 0.000
0.000 0.000 1.757
```

## Properties
* space-group type: No. 123
* calculated volume: 17.96 Å³ per atom
* magnetization: 0.00 μB per cell

***

Which of them is least stable? Easy: i.

***

--- i ---
AlPdI2O | PBE | relaxed

POSCAR file:
```
AlPdI2O
1.0
5.705 0.000 0.000
0.000 5.705 0.000
0.000 0.000 3.916
I O Al Pd
2 1 1 1
Cartesian
0.000 2.852 0.000
2.852 0.000 0.000
0.000 0.000 1.958
2.852 2.852 1.958
0.000 0.000 0.000
```

## Properties
* space-group type: No. 123
* calculated volume: 25.49 Å³ per atom
* magnetization: 1.02 μB per cell

***

--- ii ---
AlPdI2O | PBE | relaxed

POSCAR file:
```
AlPdI2O
1.0
5.723 0.000 0.000
0.000 5.723 0.000
0.000 0.000 3.402
I O Al Pd
2 1 1 1
Cartesian
0.000 2.861 0.000
2.861 0.000 0.000
0.000 0.000 1.701
0.000 0.000 0.000
2.861 2.861 1.701
```

## Properties
* space-group type: No. 123
* calculated volume: 22.28 Å³ per atom
* magnetization: 0.00 μB per cell

***

Which of them is least stable? Easy: i.

***

--- i ---
RbAlIO2 | PBE | relaxed

POSCAR file:
```
RbAlIO2
1.0
4.239 0.000 0.000
0.000 4.239 0.000
0.000 0.000 5.627
I O Al Rb
1 2 1 1
Cartesian
0.000 0.000 2.814
0.000 2.119 0.000
2.119 0.000 0.000
0.000 0.000 0.000
2.119 2.119 2.814
```

## Properties
* space-group type: No. 123
* calculated volume: 20.22 Å³ per atom
* magnetization: 1.01 μB per cell

***

--- ii ---
RbAlIO2 | PBE | relaxed

POSCAR file:
```
RbAlIO2
1.0
-1.859 0.493 -4.583
-2.246 -4.412 0.436
-6.059 3.362 2.820
I O Al Rb
1 2 1 1
Cartesian
-3.029 1.681 1.410
-1.123 -2.206 0.218
-0.930 0.247 -2.291
-5.082 -0.278 -0.663
0.000 0.000 0.000
```

## Properties
* space-group type: No. 123
* calculated volume: 36.96 Å³ per atom
* magnetization: 2.88 μB per cell

***

Which of them is least stable? Easy: ii.

***

--- i ---
AlReI2O | PBE | relaxed

POSCAR file:
```
AlReI2O
1.0
-1.186 -4.582 3.123
5.545 -0.988 0.655
0.010 2.134 3.135
I Re Al O
2 1 1 1
Cartesian
2.773 -0.494 0.328
-0.593 -2.291 1.561
0.000 0.000 0.000
2.185 -1.718 3.456
0.005 1.067 1.567
```

## Properties
* space-group type: No. 123
* calculated volume: 24.39 Å³ per atom
* magnetization: 0.00 μB per cell

***

--- ii ---
AlReI2O | PBE | relaxed

POSCAR file:
```
AlReI2O
1.0
5.482 0.000 0.000
0.000 5.482 0.000
0.000 0.000 3.364
I Re Al O
2 1 1 1
Cartesian
0.000 2.741 0.000
2.741 0.000 0.000
2.741 2.741 1.682
0.000 0.000 0.000
0.000 0.000 1.682
```

## Properties
* space-group type: No. 123
* calculated volume: 20.22 Å³ per atom
* magnetization: 0.66 μB per cell

***

Which of them is least stable? Easy: ii.

***

--- i ---
AlRhI2O | PBE | relaxed

POSCAR file:
```
AlRhI2O
1.0
-4.714 2.672 -1.491
-2.791 -4.878 0.082
-0.763 0.492 3.293
I Rh Al O
2 1 1 1
Cartesian
-1.395 -2.439 0.041
-2.357 1.336 -0.746
-4.134 -0.857 0.942
0.000 0.000 0.000
-0.382 0.246 1.647
```

## Properties
* space-group type: No. 123
* calculated volume: 21.58 Å³ per atom
* magnetization: 1.50 μB per cell

***

--- ii ---
AlRhI2O | PBE | relaxed

POSCAR file:
```
AlRhI2O
1.0
5.729 0.000 0.000
0.000 5.729 0.000
0.000 0.000 3.767
I Rh Al O
2 1 1 1
Cartesian
0.000 2.865 0.000
2.865 0.000 0.000
0.000 0.000 0.000
2.865 2.865 1.883
0.000 0.000 1.883
```

## Properties
* space-group type: No. 123
* calculated volume: 24.73 Å³ per atom
* magnetization: 0.00 μB per cell

***

Which of them is least stable? Easy: ii.

***

--- i ---
AlRhIO2 | PBE | relaxed

POSCAR file:
```
AlRhIO2
1.0
4.005 0.000 0.000
0.000 4.005 0.000
0.000 0.000 5.625
I Rh Al O
1 1 1 2
Cartesian
0.000 0.000 2.812
0.000 0.000 0.000
2.003 2.003 2.812
0.000 2.003 0.000
2.003 0.000 0.000
```

## Properties
* space-group type: No. 123
* calculated volume: 18.05 Å³ per atom
* magnetization: 0.89 μB per cell

***

--- ii ---
AlRhIO2 | PBE | relaxed

POSCAR file:
```
AlRhIO2
1.0
3.634 0.000 0.000
0.000 3.634 0.000
0.000 0.000 7.495
I Rh Al O
1 1 1 2
Cartesian
0.000 0.000 3.747
1.817 1.817 3.747
0.000 0.000 0.000
0.000 1.817 0.000
1.817 0.000 0.000
```

## Properties
* space-group type: No. 123
* calculated volume: 19.80 Å³ per atom
* magnetization: 0.00 μB per cell

***

Which of them is least stable? Easy: i.